# 1
# Mg2W

An optimized crystal structure of Mg2W (PBE, Alexandria via LeMat-Bulk).

Total moment: 0.0 μB per formula unit
E_form: 343 meV/atom
E above lowest polymorph: 0.0 meV/atom
Electronic total energy: -30.2 eV/cell

The structure in CIF format:
```
data_Mg2W
_chemical_formula_sum 'Mg4 W2'
_space_group_name_H-M_alt 'I 4/m m m'
_space_group_IT_number 139
_space_group_name_Hall '-I 4 2'
_cell_length_a 2.7988
_cell_length_b 2.7988
_cell_length_c 14.1546
_cell_angle_alpha 90.00
_cell_angle_beta 90.00
_cell_angle_gamma 90.00
loop_
_atom_site_label
_atom_site_type_symbol
_atom_site_fract_x
_atom_site_fract_y
_atom_site_fract_z
Mg1 Mg 0.0000 0.0000 0.1561
W1 W 0.0000 0.0000 0.5000
```


# 2
# MgW

An optimized crystal structure of MgW (PBE, Alexandria via LeMat-Bulk).

Total moment: 0.0 μB per formula unit
E_form: 505 meV/atom
E above lowest polymorph: 243.7 meV/atom
Electronic total energy: -13.5 eV/cell

The structure in CIF format:
```
data_MgW
_chemical_formula_sum 'Mg1 W1'
_space_group_name_H-M_alt 'P -6 m 2'
_space_group_IT_number 187
_space_group_name_Hall 'P -6 2'
_cell_length_a 2.8580
_cell_length_b 2.8580
_cell_length_c 4.8899
_cell_angle_alpha 90.00
_cell_angle_beta 90.00
_cell_angle_gamma 120.00
loop_
_atom_site_label
_atom_site_type_symbol
_atom_site_fract_x
_atom_site_fract_y
_atom_site_fract_z
Mg1 Mg 0.0000 0.0000 0.0000
W1 W 0.6667 0.3333 0.5000
```


# 3
# MgW

An optimized crystal structure of MgW (PBE, Alexandria via LeMat-Bulk).

Total moment: 0.0 μB per formula unit
E_form: 462 meV/atom
E above lowest polymorph: 201.0 meV/atom
Electronic total energy: -13.6 eV/cell

The structure in CIF format:
```
data_MgW
_chemical_formula_sum 'Mg1 W1'
_space_group_name_H-M_alt 'P 4/m m m'
_space_group_IT_number 123
_space_group_name_Hall '-P 4 2'
_cell_length_a 2.7157
_cell_length_b 2.7157
_cell_length_c 4.6527
_cell_angle_alpha 90.00
_cell_angle_beta 90.00
_cell_angle_gamma 90.00
loop_
_atom_site_label
_atom_site_type_symbol
_atom_site_fract_x
_atom_site_fract_y
_atom_site_fract_z
Mg1 Mg 0.0000 0.0000 0.0000
W1 W 0.5000 0.5000 0.5000
```


# 4
# MgW

An optimized crystal structure of MgW (PBE, Alexandria via LeMat-Bulk).

Total moment: 0.0 μB per formula unit
E_form: 1069 meV/atom
E above lowest polymorph: 808.4 meV/atom
Electronic total energy: -12.4 eV/cell

The structure in CIF format:
```
data_MgW
_chemical_formula_sum 'Mg1 W1'
_space_group_name_H-M_alt 'P m -3 m'
_space_group_IT_number 221
_space_group_name_Hall '-P 4 2 3'
_cell_length_a 3.2337
_cell_length_b 3.2337
_cell_length_c 3.2337
_cell_angle_alpha 90.00
_cell_angle_beta 90.00
_cell_angle_gamma 90.00
loop_
_atom_site_label
_atom_site_type_symbol
_atom_site_fract_x
_atom_site_fract_y
_atom_site_fract_z
Mg1 Mg 0.0000 0.0000 0.0000
W1 W 0.5000 0.5000 0.5000
```